[1]
This record from OQMD describes Sm5Bi3 after structural relaxation. The functional is PBE.

Values from the calculation:
* final energy: -5.237 eV per atom
* SG: P6_3/mcm, No. 193
* calculated volume: 494 Å³ per cell

Unit cell a=9.371 b=9.371 c=6.496 alpha=90.00 beta=90.00 gamma=120.00
Sites, in units of the cell vectors:
Sm (0.000, 0.246, 0.250)
Sm (0.000, 0.754, 0.750)
Sm (0.246, 0.000, 0.250)
Sm (0.246, 0.246, 0.750)
Sm (0.333, 0.667, 0.000)
Sm (0.333, 0.667, 0.500)
Sm (0.667, 0.333, 0.000)
Sm (0.667, 0.333, 0.500)
Sm (0.754, 0.000, 0.750)
Sm (0.754, 0.754, 0.250)
Bi (0.000, 0.388, 0.750)
Bi (0.000, 0.612, 0.250)
Bi (0.388, 0.000, 0.750)
Bi (0.388, 0.388, 0.250)
Bi (0.612, 0.000, 0.250)
Bi (0.612, 0.612, 0.750)


[2]
This record from OQMD describes Sm5Sn2Bi2 after structural relaxation. The functional is PBE.

Values from the calculation:
* final energy: -5.253 eV per atom
* SG: Cmce, No. 64
* calculated volume: 557 Å³ per cell

Unit cell a=8.985 b=8.985 c=8.387 alpha=90.00 beta=90.00 gamma=55.41
Sites, in units of the cell vectors:
Sm (0.000, 0.000, 0.000)
Sm (0.036, 0.700, 0.666)
Sm (0.200, 0.536, 0.166)
Sm (0.300, 0.964, 0.666)
Sm (0.464, 0.800, 0.166)
Sm (0.500, 0.500, 0.500)
Sm (0.536, 0.200, 0.834)
Sm (0.700, 0.036, 0.334)
Sm (0.800, 0.464, 0.834)
Sm (0.964, 0.300, 0.334)
Sn (0.133, 0.867, 0.367)
Sn (0.367, 0.633, 0.867)
Sn (0.633, 0.367, 0.133)
Sn (0.867, 0.133, 0.633)
Bi (0.205, 0.205, 0.000)
Bi (0.295, 0.295, 0.500)
Bi (0.705, 0.705, 0.500)
Bi (0.795, 0.795, 0.000)


[3]
This record from OQMD describes SrSmBi2 after structural relaxation. The functional is PBE.

Values from the calculation:
* final energy: -4.213 eV per atom
* SG: I4/mmm, No. 139
* calculated volume: 280 Å³ per cell

Unit cell a=12.736 b=12.736 c=12.736 alpha=158.40 beta=158.40 gamma=30.73
Sites, in units of the cell vectors:
Sr (0.107, 0.107, 0.000)
Sr (0.893, 0.893, 0.000)
Sm (0.250, 0.750, 0.500)
Sm (0.750, 0.250, 0.500)
Bi (0.000, 0.500, 0.500)
Bi (0.340, 0.340, 0.000)
Bi (0.500, 0.000, 0.500)
Bi (0.660, 0.660, 0.000)


[4]
This record from OQMD describes Tb2SmBi3 after structural relaxation. The functional is PBE.

Values from the calculation:
* final energy: -5.264 eV per atom
* SG: P-3m1, No. 164
* calculated volume: 192 Å³ per cell

Unit cell a=4.489 b=4.489 c=11.010 alpha=90.00 beta=90.00 gamma=120.00
Sites, in units of the cell vectors:
Tb (0.333, 0.667, 0.335)
Tb (0.667, 0.333, 0.665)
Sm (0.000, 0.000, 0.000)
Bi (0.000, 0.000, 0.500)
Bi (0.333, 0.667, 0.830)
Bi (0.667, 0.333, 0.170)


[5]
This record from OQMD describes TbSm4Bi5 after structural relaxation. The functional is PBE.

Values from the calculation:
* final energy: -5.306 eV per atom
* SG: I4/mmm, No. 139
* calculated volume: 329 Å³ per cell

Unit cell a=16.337 b=16.337 c=16.337 alpha=164.05 beta=164.05 gamma=22.63
Sites, in units of the cell vectors:
Tb (0.000, 0.000, 0.000)
Sm (0.200, 0.200, 0.000)
Sm (0.400, 0.400, 0.000)
Sm (0.600, 0.600, 0.000)
Sm (0.800, 0.800, 0.000)
Bi (0.099, 0.099, 0.000)
Bi (0.300, 0.300, 0.000)
Bi (0.500, 0.500, 0.000)
Bi (0.700, 0.700, 0.000)
Bi (0.901, 0.901, 0.000)


[6]
This record from OQMD describes Tb4SmBi5 after structural relaxation. The functional is PBE.

Values from the calculation:
* final energy: -5.252 eV per atom
* SG: I4/mmm, No. 139
* calculated volume: 321 Å³ per cell

Unit cell a=16.195 b=16.195 c=16.195 alpha=164.05 beta=164.05 gamma=22.63
Sites, in units of the cell vectors:
Tb (0.100, 0.100, 0.000)
Tb (0.300, 0.300, 0.000)
Tb (0.700, 0.700, 0.000)
Tb (0.900, 0.900, 0.000)
Sm (0.500, 0.500, 0.000)
Bi (0.000, 0.000, 0.000)
Bi (0.200, 0.200, 0.000)
Bi (0.399, 0.399, 0.000)
Bi (0.601, 0.601, 0.000)
Bi (0.800, 0.800, 0.000)


[7]
This record from OQMD describes TbSmBi2Te2 after structural relaxation. The functional is PBE.

Values from the calculation:
* final energy: -4.992 eV per atom
* SG: P4mm, No. 99
* calculated volume: 184 Å³ per cell

Unit cell a=4.417 b=4.417 c=9.430 alpha=90.00 beta=90.00 gamma=90.00
Sites, in units of the cell vectors:
Tb (0.000, 0.000, 0.000)
Sm (0.500, 0.500, 0.431)
Bi (0.000, 0.500, 0.717)
Bi (0.500, 0.000, 0.717)
Te (0.000, 0.000, 0.338)
Te (0.500, 0.500, 0.087)


[8]
This record from OQMD describes SmTcBi after structural relaxation. The functional is PBE.

Values from the calculation:
* final energy: -5.971 eV per atom
* SG: F-43m, No. 216
* calculated volume: 83 Å³ per cell
* distance to the lowest polymorph of the same formula: 0 meV per atom

Unit cell a=4.893 b=4.893 c=4.893 alpha=60.00 beta=60.00 gamma=60.00
Sites, in units of the cell vectors:
Sm (0.000, 0.000, 0.000)
Tc (0.500, 0.500, 0.500)
Bi (0.250, 0.250, 0.250)


[9]
This record from OQMD describes SmTcBi after structural relaxation. The functional is PBE.

Values from the calculation:
* final energy: -5.493 eV per atom
* SG: F-43m, No. 216
* calculated volume: 87 Å³ per cell
* distance to the lowest polymorph of the same formula: 478 meV per atom

Unit cell a=4.970 b=4.970 c=4.970 alpha=60.00 beta=60.00 gamma=60.00
Sites, in units of the cell vectors:
Sm (0.000, 0.000, 0.000)
Tc (0.250, 0.250, 0.250)
Bi (0.750, 0.750, 0.750)


[10]
This record from OQMD describes Sm3Bi2Te after structural relaxation. The functional is PBE.

Values from the calculation:
* final energy: -5.339 eV per atom
* SG: P-3m1, No. 164
* calculated volume: 194 Å³ per cell
* distance to the lowest polymorph of the same formula: 8 meV per atom

Unit cell a=4.500 b=4.500 c=11.040 alpha=90.00 beta=90.00 gamma=120.00
Sites, in units of the cell vectors:
Sm (0.000, 0.000, 0.000)
Sm (0.333, 0.667, 0.666)
Sm (0.667, 0.333, 0.334)
Bi (0.333, 0.667, 0.168)
Bi (0.667, 0.333, 0.832)
Te (0.000, 0.000, 0.500)


[11]
This record from OQMD describes Sm3Bi2Te after structural relaxation. The functional is PBE.

Values from the calculation:
* final energy: -5.348 eV per atom
* SG: C2/c, No. 15
* calculated volume: 390 Å³ per cell
* distance to the lowest polymorph of the same formula: 0 meV per atom

Unit cell a=7.821 b=7.821 c=7.820 alpha=99.60 beta=99.60 gamma=120.06
Sites, in units of the cell vectors:
Sm (0.000, 0.500, 0.500)
Sm (0.165, 0.333, 0.001)
Sm (0.333, 0.165, 0.501)
Sm (0.500, 0.000, 0.000)
Sm (0.667, 0.835, 0.499)
Sm (0.835, 0.667, 0.999)
Bi (0.083, 0.917, 0.750)
Bi (0.250, 0.750, 0.250)
Bi (0.750, 0.250, 0.750)
Bi (0.917, 0.083, 0.250)
Te (0.416, 0.584, 0.750)
Te (0.584, 0.416, 0.250)


[12]
This record from OQMD describes SmBiTe after structural relaxation. The functional is PBE.

Values from the calculation:
* final energy: -4.373 eV per atom
* SG: F-43m, No. 216
* calculated volume: 103 Å³ per cell

Unit cell a=5.264 b=5.264 c=5.264 alpha=60.00 beta=60.00 gamma=60.00
Sites, in units of the cell vectors:
Sm (0.000, 0.000, 0.000)
Bi (0.500, 0.500, 0.500)
Te (0.750, 0.750, 0.750)